! PmThSb, relaxed, DFT PBE-GGA; values from VASP
! ΔE_f (raw): -0.80 eV per atom
! V: 30.6 Å³/atom
! total DFT energy (no corrections): -37.38 eV for the cell shown
! mass density: 9.02 g cm⁻³
! energy above the most stable polymorph in this dataset: 0.000 eV/atom
&SYSTEM
  ibrav = 0, nat = 6, ntyp = 3
/
ATOMIC_SPECIES
Pm 145.00 Pm.upf
Th 232.04 Th.upf
Sb 121.76 Sb.upf
ATOMIC_POSITIONS crystal
Pm 0.8250 0.8250 0.6500
Pm 0.1750 0.1750 0.3500
Th 0.5000 0.0000 0.0000
Th 0.0000 0.5000 0.0000
Sb 0.3592 0.3592 0.7184
Sb 0.6408 0.6408 0.2816
CELL_PARAMETERS angstrom
4.4842 0.0000 -0.9351
-0.1950 4.4800 -0.9351
-0.3972 -0.4149 9.3145

***

! Ni3IN, relaxed, DFT PBE-GGA; values from VASP
! ΔE_f (raw): 0.43 eV per atom
! V: 12.7 Å³/atom
! total DFT energy (no corrections): -25.09 eV for the cell shown
! mass density: 8.29 g cm⁻³
! energy above the most stable polymorph in this dataset: 0.000 eV/atom
&SYSTEM
  ibrav = 0, nat = 5, ntyp = 3
/
ATOMIC_SPECIES
Ni 58.69 Ni.upf
I 126.90 I.upf
N 14.01 N.upf
ATOMIC_POSITIONS crystal
Ni 0.0000 0.5000 0.0000
Ni 0.5000 0.0000 0.0000
Ni 0.0000 0.0000 0.5000
I 0.5000 0.5000 0.5000
N 0.0000 0.0000 0.0000
CELL_PARAMETERS angstrom
3.9900 0.0000 0.0000
0.0000 3.9900 0.0000
0.0000 0.0000 3.9900

***

! SbRuN2F, relaxed, DFT PBE-GGA; values from VASP
! ΔE_f (raw): 0.42 eV per atom
! V: 13.0 Å³/atom
! total DFT energy (no corrections): -29.80 eV for the cell shown
! mass density: 6.92 g cm⁻³
! energy above the most stable polymorph in this dataset: 0.000 eV/atom
&SYSTEM
  ibrav = 0, nat = 5, ntyp = 4
/
ATOMIC_SPECIES
F 19.00 F.upf
N 14.01 N.upf
Ru 101.07 Ru.upf
Sb 121.76 Sb.upf
ATOMIC_POSITIONS crystal
F 0.0000 0.0000 0.5000
N 0.0000 0.5000 0.0000
N 0.5000 0.0000 0.0000
Ru 0.0000 0.0000 0.0000
Sb 0.5000 0.5000 0.5000
CELL_PARAMETERS angstrom
-0.7115 -3.8424 -0.5371
1.5303 -0.7797 3.5509
-3.7629 0.4561 1.7218

***

! HfTcAsSe2, relaxed, DFT PBE-GGA; values from VASP
! ΔE_f (raw): 0.48 eV per atom
! V: 22.5 Å³/atom
! total DFT energy (no corrections): -29.55 eV for the cell shown
! mass density: 7.53 g cm⁻³
! energy above the most stable polymorph in this dataset: 0.000 eV/atom
&SYSTEM
  ibrav = 0, nat = 5, ntyp = 4
/
ATOMIC_SPECIES
Se 78.96 Se.upf
Hf 178.49 Hf.upf
As 74.92 As.upf
Tc 98.00 Tc.upf
ATOMIC_POSITIONS crystal
Se 0.5000 0.0000 0.0000
Se 0.0000 0.5000 0.0000
Hf 0.5000 0.5000 0.5000
As 0.0000 0.0000 0.5000
Tc 0.0000 0.0000 0.0000
CELL_PARAMETERS angstrom
-0.3102 -4.5245 -1.8867
1.1776 -1.9039 4.3721
-4.5100 -0.1670 1.1420

***

! PrHo5Mg3, relaxed, DFT PBE-GGA; values from VASP
! formation energy from the elements: 0.357 eV/atom
! V: 33.7 Å³/atom
! total DFT energy (no corrections): -58.48 eV for the cell shown
! mass density: 5.69 g cm⁻³
&SYSTEM
  ibrav = 0, nat = 18, ntyp = 3
/
ATOMIC_SPECIES
Ho 164.93 Ho.upf
Mg 24.30 Mg.upf
Pr 140.91 Pr.upf
ATOMIC_POSITIONS crystal
Ho 0.3621 0.9967 0.2021
Ho 0.5866 0.5866 0.3702
Ho 0.3099 0.6901 0.0000
Ho 0.9967 0.3621 0.2021
Ho 0.2744 0.2744 0.9319
Ho 0.4134 0.4134 0.6298
Ho 0.0033 0.6379 0.7979
Ho 0.6901 0.3099 0.0000
Ho 0.6379 0.0033 0.7979
Ho 0.7256 0.7256 0.0681
Mg 0.0000 0.0000 0.0000
Mg 0.4245 0.4245 0.2120
Mg 0.2656 0.2656 0.4348
Mg 0.7344 0.7344 0.5652
Mg 0.5755 0.5755 0.7880
Mg 0.0000 0.0000 0.5000
Pr 0.8825 0.8825 0.2663
Pr 0.1175 0.1175 0.7337
CELL_PARAMETERS angstrom
7.2803 -0.1859 -0.1996
1.8142 7.0531 -0.1996
2.7598 2.0839 11.6131

***

! NpTcO3, relaxed, DFT PBE-GGA; values from VASP
! ΔE_f (raw): -1.60 eV per atom
! V: 12.5 Å³/atom
! total DFT energy (no corrections): -46.17 eV for the cell shown
! mass density: 10.14 g cm⁻³
&SYSTEM
  ibrav = 0, nat = 5, ntyp = 3
/
ATOMIC_SPECIES
O 16.00 O.upf
Tc 98.00 Tc.upf
Np 237.00 Np.upf
ATOMIC_POSITIONS crystal
O 0.0000 0.5000 0.5000
O 0.5000 0.5000 0.0000
O 0.5000 0.0000 0.5000
Tc 0.5000 0.5000 0.5000
Np 0.0000 0.0000 0.0000
CELL_PARAMETERS angstrom
3.9728 0.0000 0.0000
0.0000 3.9728 0.0000
0.0000 0.0000 3.9728

***

! Be3InF, relaxed, DFT PBE-GGA; values from VASP
! ΔE_f (raw): 0.67 eV per atom
! V: 19.0 Å³/atom
! total DFT energy (no corrections): -12.46 eV for the cell shown
! mass density: 2.81 g cm⁻³
! energy above the most stable polymorph in this dataset: 0.466 eV/atom
&SYSTEM
  ibrav = 0, nat = 5, ntyp = 3
/
ATOMIC_SPECIES
F 19.00 F.upf
Be 9.01 Be.upf
In 114.82 In.upf
ATOMIC_POSITIONS crystal
F 0.5000 0.5000 0.5000
Be 0.0000 0.5000 0.0000
Be 0.5000 0.0000 0.0000
Be 0.0000 0.0000 0.5000
In 0.0000 0.0000 0.0000
CELL_PARAMETERS angstrom
-2.2000 -1.7134 3.6104
3.7974 -2.1802 1.2793
1.2450 3.6223 2.4777

***

! Ac3Al2Pd9Au, relaxed, DFT PBE-GGA; values from VASP
! formation energy from the elements: -0.635 eV/atom
! V: 22.6 Å³/atom
! total DFT energy (no corrections): -79.34 eV for the cell shown
! mass density: 9.25 g cm⁻³
&SYSTEM
  ibrav = 0, nat = 15, ntyp = 4
/
ATOMIC_SPECIES
Ac 227.00 Ac.upf
Pd 106.42 Pd.upf
Al 26.98 Al.upf
Au 196.97 Au.upf
ATOMIC_POSITIONS crystal
Ac 0.6667 0.3333 0.3845
Ac 0.0000 0.0000 0.0000
Ac 0.3333 0.6667 0.6155
Pd 0.5000 0.0000 0.0000
Pd 0.1626 0.3252 0.3081
Pd 0.8374 0.1626 0.6919
Pd 0.1626 0.8374 0.3081
Pd 0.0000 0.5000 0.0000
Pd 0.3252 0.1626 0.6919
Pd 0.6748 0.8374 0.3081
Pd 0.5000 0.5000 0.0000
Pd 0.8374 0.6748 0.6919
Al 0.6667 0.3333 0.8403
Al 0.3333 0.6667 0.1597
Au 0.0000 0.0000 0.5000
CELL_PARAMETERS angstrom
5.8948 0.0000 0.0000
-2.9474 5.1051 0.0000
0.0000 0.0000 11.2784

***

! Ac3Si6Au20, relaxed, DFT PBE-GGA; values from VASP
! ΔE_f (raw): -0.22 eV per atom
! V: 20.1 Å³/atom
! total DFT energy (no corrections): -116.90 eV for the cell shown
! mass density: 13.64 g cm⁻³
&SYSTEM
  ibrav = 0, nat = 29, ntyp = 3
/
ATOMIC_SPECIES
Si 28.09 Si.upf
Ac 227.00 Ac.upf
Au 196.97 Au.upf
ATOMIC_POSITIONS crystal
Si 0.7394 0.2606 0.7394
Si 0.2606 0.7394 0.2606
Si 0.2606 0.7394 0.7394
Si 0.7394 0.2606 0.2606
Si 0.2606 0.2606 0.7394
Si 0.7394 0.7394 0.2606
Ac 0.2500 0.2500 0.2500
Ac 0.0000 0.0000 0.0000
Ac 0.7500 0.7500 0.7500
Au 0.6103 0.1691 0.6103
Au 0.3897 0.8309 0.3897
Au 0.1691 0.6103 0.6103
Au 0.6493 0.0000 0.3507
Au 0.3507 0.6493 0.0000
Au 0.3507 0.0000 0.0000
Au 0.3507 0.0000 0.6493
Au 0.0000 0.3507 0.0000
Au 0.6103 0.6103 0.6103
Au 0.3897 0.3897 0.3897
Au 0.6493 0.0000 0.0000
Au 0.0000 0.3507 0.6493
Au 0.6103 0.6103 0.1691
Au 0.0000 0.6493 0.0000
Au 0.0000 0.0000 0.6493
Au 0.0000 0.0000 0.3507
Au 0.3897 0.3897 0.8309
Au 0.8309 0.3897 0.3897
Au 0.6493 0.3507 0.0000
Au 0.0000 0.6493 0.3507
CELL_PARAMETERS angstrom
-8.5838 0.5413 -3.7340
-6.7808 -5.7485 2.9820
-7.1175 3.3839 5.0800

***

! OsF4, relaxed, DFT PBE-GGA; values from VASP
! ΔE_f (raw): -1.16 eV per atom
! V: 10.3 Å³/atom
! total DFT energy (no corrections): -49.04 eV for the cell shown
! mass density: 8.55 g cm⁻³
&SYSTEM
  ibrav = 0, nat = 10, ntyp = 2
/
ATOMIC_SPECIES
F 19.00 F.upf
Os 190.23 Os.upf
ATOMIC_POSITIONS crystal
F 0.7710 0.6733 0.8120
F 0.2290 0.3267 0.8120
F 0.7290 0.1733 0.6880
F 0.8267 0.7290 0.3120
F 0.6733 0.2290 0.1880
F 0.3267 0.7710 0.1880
F 0.2710 0.8267 0.6880
F 0.1733 0.2710 0.3120
Os 0.5000 0.5000 0.5000
Os 0.0000 0.0000 0.0000
CELL_PARAMETERS angstrom
4.6490 0.0000 0.0000
0.0000 4.6490 0.0000
0.0000 0.0000 4.7832

***

! AcNi2Rh2, relaxed, DFT PBE-GGA; values from VASP
! formation energy from the elements: -0.185 eV/atom
! V: 18.2 Å³/atom
! total DFT energy (no corrections): -62.60 eV for the cell shown
! mass density: 10.03 g cm⁻³
&SYSTEM
  ibrav = 0, nat = 10, ntyp = 3
/
ATOMIC_SPECIES
Rh 102.91 Rh.upf
Ni 58.69 Ni.upf
Ac 227.00 Ac.upf
ATOMIC_POSITIONS crystal
Rh 0.9321 0.9321 0.8641
Rh 0.7500 0.2500 0.5000
Rh 0.0679 0.0679 0.1359
Rh 0.2500 0.7500 0.5000
Ni 0.8146 0.8146 0.6291
Ni 0.1854 0.1854 0.3709
Ni 0.0000 0.5000 0.0000
Ni 0.5000 0.0000 0.0000
Ac 0.3785 0.3785 0.7569
Ac 0.6215 0.6215 0.2431
CELL_PARAMETERS angstrom
-3.1722 -2.7898 0.0663
2.6665 -3.0599 -1.1734
2.2403 0.8980 10.3556

***

! Pm2Tm5Ge4, relaxed, DFT PBE-GGA; values from VASP
! formation energy from the elements: -0.344 eV/atom
! V: 27.6 Å³/atom
! total DFT energy (no corrections): -54.11 eV for the cell shown
! mass density: 7.80 g cm⁻³
&SYSTEM
  ibrav = 0, nat = 11, ntyp = 3
/
ATOMIC_SPECIES
Ge 72.64 Ge.upf
Tm 168.93 Tm.upf
Pm 145.00 Pm.upf
ATOMIC_POSITIONS crystal
Ge 0.3235 0.5085 0.6471
Ge 0.6765 0.4915 0.3529
Ge 0.9761 0.3433 0.9523
Ge 0.0239 0.6567 0.0477
Tm 0.7586 0.7622 0.5172
Tm 0.2414 0.2378 0.4828
Tm 0.8705 0.2110 0.7411
Tm 0.1295 0.7890 0.2589
Tm 0.5000 0.0000 0.0000
Pm 0.0962 0.2866 0.1924
Pm 0.9038 0.7134 0.8076
CELL_PARAMETERS angstrom
-2.3031 -2.5636 -0.2409
2.7022 -1.8559 -6.0838
9.5808 -6.7733 5.2511

***

! Ba6Sr2InPt, relaxed, DFT PBE-GGA; values from VASP
! formation energy from the elements: -0.204 eV/atom
! V: 57.3 Å³/atom
! total DFT energy (no corrections): -25.72 eV for the cell shown
! mass density: 3.79 g cm⁻³
&SYSTEM
  ibrav = 0, nat = 10, ntyp = 4
/
ATOMIC_SPECIES
Ba 137.33 Ba.upf
Sr 87.62 Sr.upf
In 114.82 In.upf
Pt 195.08 Pt.upf
ATOMIC_POSITIONS crystal
Ba 0.2391 0.2391 0.5218
Ba 0.7609 0.7609 0.0000
Ba 0.7609 0.2391 0.0000
Ba 0.7609 0.7609 0.4782
Ba 0.2391 0.2391 0.0000
Ba 0.2391 0.7609 0.0000
Sr 0.2500 0.7500 0.5000
Sr 0.7500 0.2500 0.5000
In 0.5000 0.5000 0.0000
Pt 0.0000 0.0000 0.0000
CELL_PARAMETERS angstrom
-5.7789 -5.5863 4.7285
4.1313 -7.4630 -3.7679
3.4481 -6.6945 5.5005

***

! RbFeHg2, relaxed, DFT PBE-GGA; values from VASP
! formation energy from the elements: 0.575 eV/atom
! V: 28.3 Å³/atom
! total DFT energy (no corrections): -7.73 eV for the cell shown
! mass density: 7.97 g cm⁻³
! energy above the most stable polymorph in this dataset: 0.179 eV/atom
&SYSTEM
  ibrav = 0, nat = 4, ntyp = 3
/
ATOMIC_SPECIES
Fe 55.84 Fe.upf
Hg 200.59 Hg.upf
Rb 85.47 Rb.upf
ATOMIC_POSITIONS crystal
Fe 0.0000 0.0000 0.0000
Hg 0.2500 0.2500 0.2500
Hg 0.7500 0.7500 0.7500
Rb 0.5000 0.5000 0.5000
CELL_PARAMETERS angstrom
0.0000 3.8375 3.8375
3.8375 0.0000 3.8375
3.8375 3.8375 0.0000

***

! Ac2H12PdRh3, relaxed, DFT PBE-GGA; values from VASP
! V: 9.8 Å³/atom
! total DFT energy (no corrections): -81.27 eV for the cell shown
! mass density: 8.29 g cm⁻³
&SYSTEM
  ibrav = 0, nat = 18, ntyp = 4
/
ATOMIC_SPECIES
H 1.01 H.upf
Rh 102.91 Rh.upf
Ac 227.00 Ac.upf
Pd 106.42 Pd.upf
ATOMIC_POSITIONS crystal
H 0.6704 0.6704 0.1115
H 0.1115 0.6704 0.6704
H 0.9056 0.9056 0.3534
H 0.3296 0.3296 0.8885
H 0.0944 0.0944 0.6466
H 0.0944 0.6466 0.0944
H 0.6466 0.0944 0.0944
H 0.9056 0.3534 0.9056
H 0.8885 0.3296 0.3296
H 0.6704 0.1115 0.6704
H 0.3296 0.8885 0.3296
H 0.3534 0.9056 0.9056
Rh 0.5000 0.0000 0.0000
Rh 0.0000 0.0000 0.5000
Rh 0.0000 0.5000 0.0000
Ac 0.3799 0.3799 0.3799
Ac 0.6201 0.6201 0.6201
Pd 0.0000 0.0000 0.0000
CELL_PARAMETERS angstrom
6.2829 0.0059 0.0042
3.1079 5.4604 0.0042
3.1079 1.8091 5.1520

***

! Cu6As2S, relaxed, DFT PBE-GGA; values from VASP
! ΔE_f (raw): 0.04 eV per atom
! V: 15.4 Å³/atom
! total DFT energy (no corrections): -75.25 eV for the cell shown
! mass density: 6.74 g cm⁻³
&SYSTEM
  ibrav = 0, nat = 18, ntyp = 3
/
ATOMIC_SPECIES
As 74.92 As.upf
Cu 63.55 Cu.upf
S 32.06 S.upf
ATOMIC_POSITIONS crystal
As 0.3747 0.5165 0.3553
As 0.1253 0.0165 0.8553
As 0.8747 0.9835 0.1447
As 0.6253 0.4835 0.6447
Cu 0.6125 0.2350 0.8281
Cu 0.1125 0.2650 0.6719
Cu 0.3875 0.7650 0.1719
Cu 0.6610 0.8449 0.9400
Cu 0.8390 0.3449 0.4400
Cu 0.2415 0.1431 0.3037
Cu 0.3390 0.1551 0.0600
Cu 0.2585 0.6431 0.8037
Cu 0.1610 0.6551 0.5600
Cu 0.7585 0.8569 0.6963
Cu 0.8875 0.7350 0.3281
Cu 0.7415 0.3569 0.1963
S 0.0000 0.0000 0.5000
S 0.5000 0.5000 0.0000
CELL_PARAMETERS angstrom
4.3110 0.0000 0.0000
0.0000 6.1572 -0.2995
0.0000 0.5811 10.4229

***

! MnReC2, relaxed, DFT PBE-GGA; values from VASP
! formation energy from the elements: 0.525 eV/atom
! V: 11.6 Å³/atom
! total DFT energy (no corrections): -75.93 eV for the cell shown
! mass density: 9.48 g cm⁻³
! energy above the most stable polymorph in this dataset: 0.000 eV/atom
&SYSTEM
  ibrav = 0, nat = 8, ntyp = 3
/
ATOMIC_SPECIES
C 12.01 C.upf
Re 186.21 Re.upf
Mn 54.94 Mn.upf
ATOMIC_POSITIONS crystal
C 0.6174 0.1250 0.2500
C 0.8750 0.8674 0.7500
C 0.3750 0.3826 0.7500
C 0.1326 0.6250 0.2500
Re 0.0000 0.0000 0.0000
Re 0.7500 0.2500 0.5000
Mn 0.2500 0.7500 0.5000
Mn 0.5000 0.5000 0.0000
CELL_PARAMETERS angstrom
4.5361 0.0000 0.0000
0.0000 4.5361 0.0000
2.2680 2.2680 4.5136

***

! Sb3Ru5, relaxed, DFT PBE-GGA; values from VASP
! ΔE_f (raw): 0.18 eV per atom
! V: 17.6 Å³/atom
! total DFT energy (no corrections): -114.55 eV for the cell shown
! mass density: 10.27 g cm⁻³
! energy above the most stable polymorph in this dataset: 0.088 eV/atom
&SYSTEM
  ibrav = 0, nat = 16, ntyp = 2
/
ATOMIC_SPECIES
Ru 101.07 Ru.upf
Sb 121.76 Sb.upf
ATOMIC_POSITIONS crystal
Ru 0.3125 0.4888 0.6997
Ru 0.1484 0.3094 0.2782
Ru 0.9884 0.8128 0.6997
Ru 0.7258 0.0281 0.8519
Ru 0.6751 0.1755 0.5251
Ru 0.5276 0.2262 0.8519
Ru 0.2877 0.0148 0.1372
Ru 0.2265 0.7269 0.5549
Ru 0.8089 0.6487 0.2782
Ru 0.5144 0.7881 0.1373
Sb 0.0659 0.5663 0.8626
Sb 0.7785 0.7421 0.9699
Sb 0.7834 0.2838 0.2129
Sb 0.2805 0.1286 0.4853
Sb 0.2416 0.2788 0.9699
Sb 0.6282 0.7810 0.4853
CELL_PARAMETERS angstrom
-2.1615 0.9861 7.0980
3.2915 -5.7869 -3.4209
5.3893 5.2485 -0.5856

***

! KBaPt4, relaxed, DFT PBE-GGA; values from VASP
! formation energy from the elements: -0.525 eV/atom
! V: 20.9 Å³/atom
! total DFT energy (no corrections): -30.33 eV for the cell shown
! mass density: 12.65 g cm⁻³
&SYSTEM
  ibrav = 0, nat = 6, ntyp = 3
/
ATOMIC_SPECIES
Pt 195.08 Pt.upf
K 39.10 K.upf
Ba 137.33 Ba.upf
ATOMIC_POSITIONS crystal
Pt 0.6253 0.6253 0.1242
Pt 0.6253 0.1242 0.6253
Pt 0.6253 0.6253 0.6253
Pt 0.1242 0.6253 0.6253
K 0.0000 0.0000 0.0000
Ba 0.2500 0.2500 0.2500
CELL_PARAMETERS angstrom
-0.7619 0.1122 -5.5678
4.2965 -1.1171 -3.4476
0.0700 -4.7881 -2.9432

***

! TbEuO, relaxed, DFT PBE-GGA; values from VASP
! ΔE_f (raw): -1.72 eV per atom
! V: 22.8 Å³/atom
! total DFT energy (no corrections): -25.02 eV for the cell shown
! mass density: 7.95 g cm⁻³
&SYSTEM
  ibrav = 0, nat = 3, ntyp = 3
/
ATOMIC_SPECIES
O 16.00 O.upf
Tb 158.93 Tb.upf
Eu 151.96 Eu.upf
ATOMIC_POSITIONS crystal
O 0.3333 0.6667 0.6425
Tb 0.6667 0.3333 0.4467
Eu 0.0000 0.0000 0.9108
CELL_PARAMETERS angstrom
3.6097 0.0000 0.0000
-1.8049 3.1261 0.0000
0.0000 0.0000 6.0523